Er4Tl2In: optimized geometry, PBE.

distance to the lowest polymorph of the same formula	0	meV per atom
SG	R-3m (166)
E	-27.2	eV/f.u.
calculated formation energy	-0.208	eV/atom

Unit cell a=5.216 b=5.216 c=9.092 alpha=73.33 beta=73.33 gamma=60.00
Fractional coordinates of all 7 atoms:
Tl: 0.754 0.754 0.738
Er: 0.874 0.874 0.379
Er: 0.379 0.379 0.864
Tl: 0.246 0.246 0.262
Er: 0.126 0.126 0.621
Er: 0.621 0.621 0.136
In: 0.000 0.000 0.000